No. 1
Material: BiAsPb2S5
Method: DFT, PBE-GGA
State: relaxed

The structure in CIF format:
```
data_BiAsPb2S5
_chemical_formula_sum 'Bi4 As4 Pb8 S20'
_cell_length_a 4.1184
_cell_length_b 17.8637
_cell_length_c 12.6595
_cell_angle_alpha 90.00
_cell_angle_beta 90.00
_cell_angle_gamma 90.00
_symmetry_space_group_name_H-M 'C m c 21'
_symmetry_Int_Tables_number 36
loop_
_symmetry_equiv_pos_as_xyz
'x,y,z'
'-x,-y,z+1/2'
'-x,y,z'
'x,-y,z+1/2'
'x+1/2,y+1/2,z'
'-x+1/2,-y+1/2,z+1/2'
'-x+1/2,y+1/2,z'
'x+1/2,-y+1/2,z+1/2'
loop_
_atom_site_label
_atom_site_type_symbol
_atom_site_fract_x
_atom_site_fract_y
_atom_site_fract_z
Bi1 Bi 0.0000 0.2169 0.0000
As1 As 0.0000 0.4524 0.4226
Pb1 Pb 0.0000 0.1076 0.6320
Pb2 Pb 0.0000 0.1161 0.2684
S1 S 0.0000 0.0594 0.0414
S2 S 0.0000 0.2748 0.6480
S3 S 0.0000 0.3340 0.3506
S4 S 0.0000 0.3708 0.9755
S5 S 0.0000 0.4940 0.7438
```

Summary:
Its uncorrected formation energy is -0.306 eV/atom.


No. 2
Material: Tm2Pu3ScS6
Method: DFT, PBE-GGA
State: relaxed

The structure in CIF format:
```
data_Tm2Pu3ScS6
_chemical_formula_sum 'Tm4 Pu6 Sc2 S12'
_cell_length_a 16.9514
_cell_length_b 3.8533
_cell_length_c 7.7946
_cell_angle_alpha 90.00
_cell_angle_beta 104.18
_cell_angle_gamma 90.00
_symmetry_space_group_name_H-M 'C 1 2/m 1'
_symmetry_Int_Tables_number 12
loop_
_symmetry_equiv_pos_as_xyz
'x,y,z'
'-x,-y,-z'
'-x,y,-z'
'x,-y,z'
'x+1/2,y+1/2,z'
'-x+1/2,-y+1/2,-z'
'-x+1/2,y+1/2,-z'
'x+1/2,-y+1/2,z'
loop_
_atom_site_label
_atom_site_type_symbol
_atom_site_fract_x
_atom_site_fract_y
_atom_site_fract_z
Tm1 Tm 0.1653 0.0000 0.3312
Pu1 Pu 0.0000 0.5000 0.5000
Pu2 Pu 0.1672 0.0000 0.8343
Sc1 Sc 0.0000 0.5000 0.0000
S1 S 0.0011 0.0000 0.2376
S2 S 0.1617 0.5000 0.0865
S3 S 0.1691 0.5000 0.5781
```

Summary:
Its uncorrected formation energy is -1.864 eV/atom.


No. 3
Material: PaCdGe2O8
Method: DFT, PBE-GGA
State: relaxed

The structure in CIF format:
```
data_PaCdGe2O8
_chemical_formula_sum 'Pa2 Cd2 Ge4 O16'
_cell_length_a 7.0559
_cell_length_b 7.0559
_cell_length_c 6.5828
_cell_angle_alpha 90.00
_cell_angle_beta 90.00
_cell_angle_gamma 90.00
_symmetry_space_group_name_H-M 'I -4 m 2'
_symmetry_Int_Tables_number 119
_symmetry_space_group_name_Hall 'I -4 -2'
loop_
_atom_site_label
_atom_site_type_symbol
_atom_site_fract_x
_atom_site_fract_y
_atom_site_fract_z
Pa1 Pa 0.0000 0.0000 0.0000
Cd1 Cd 0.0000 0.5000 0.2500
Ge1 Ge 0.0000 0.0000 0.5000
Ge2 Ge 0.0000 0.5000 0.7500
O1 O 0.0000 0.1806 0.3119
O2 O 0.0000 0.3046 0.9190
```

Summary:
Its uncorrected formation energy is -1.916 eV/atom.


No. 4
Material: ErAs4Pd6
Method: DFT, PBE-GGA
State: relaxed

The structure in CIF format:
```
data_ErAs4Pd6
_chemical_formula_sum 'Er1 As4 Pd6'
_cell_length_a 7.4285
_cell_length_b 7.4285
_cell_length_c 3.9690
_cell_angle_alpha 90.00
_cell_angle_beta 90.00
_cell_angle_gamma 120.00
_symmetry_space_group_name_H-M 'P -6 m 2'
_symmetry_Int_Tables_number 187
_symmetry_space_group_name_Hall 'P -6 2'
loop_
_atom_site_label
_atom_site_type_symbol
_atom_site_fract_x
_atom_site_fract_y
_atom_site_fract_z
Er1 Er 0.0000 0.0000 0.0000
As1 As 0.3333 0.6667 0.0000
As2 As 0.3729 0.1865 0.5000
Pd1 Pd 0.1952 0.3903 0.5000
Pd2 Pd 0.5352 0.0703 0.0000
```

Summary:
The energy relative to the elements comes out at -6.110 eV per formula unit.


No. 5
Material: Ir2RhSe
Method: DFT, PBE-GGA
State: relaxed

The structure in CIF format:
```
data_Ir2RhSe
_chemical_formula_sum 'Ir4 Rh2 Se2'
_cell_length_a 4.0047
_cell_length_b 4.0047
_cell_length_c 7.5867
_cell_angle_alpha 90.00
_cell_angle_beta 90.00
_cell_angle_gamma 90.00
_symmetry_space_group_name_H-M 'I 4/m m m'
_symmetry_Int_Tables_number 139
_symmetry_space_group_name_Hall '-I 4 2'
loop_
_atom_site_label
_atom_site_type_symbol
_atom_site_fract_x
_atom_site_fract_y
_atom_site_fract_z
Ir1 Ir 0.0000 0.5000 0.2500
Rh1 Rh 0.0000 0.0000 0.0000
Se1 Se 0.0000 0.0000 0.5000
```

Summary:
Its uncorrected formation energy is 0.448 eV/atom.


No. 6
Material: AgTePd5
Method: DFT, PBE-GGA
State: relaxed

The structure in CIF format:
```
data_AgTePd5
_chemical_formula_sum 'Ag1 Te1 Pd5'
_cell_length_a 4.0855
_cell_length_b 4.0855
_cell_length_c 7.4003
_cell_angle_alpha 90.00
_cell_angle_beta 90.00
_cell_angle_gamma 90.00
_symmetry_space_group_name_H-M 'P 4/m m m'
_symmetry_Int_Tables_number 123
_symmetry_space_group_name_Hall '-P 4 2'
loop_
_atom_site_label
_atom_site_type_symbol
_atom_site_fract_x
_atom_site_fract_y
_atom_site_fract_z
Ag1 Ag 0.0000 0.0000 0.0000
Te1 Te 0.5000 0.5000 0.5000
Pd1 Pd 0.0000 0.5000 0.2687
Pd2 Pd 0.5000 0.5000 0.0000
```

Summary:
Its uncorrected formation energy is -0.165 eV/atom.